Entry 1:
A plane-wave DFT calculation with GGA-PBE was carried out for a geometry-optimized NaRuSN2 structure.

The calculation puts the magnetic moment at 0.00 μB per formula unit. The value obtained for the energy above the most stable polymorph in this dataset is 0.000 eV/atom. The final energy comes out at -5.854 eV per atom. Its uncorrected formation energy is 420 meV/atom.

extended XYZ file:
```
5
Lattice="3.8098 0.0000 0.0000 0.0000 3.8098 0.0000 0.0000 0.0000 5.1993" Properties=species:S:1:pos:R:3 pbc="T T T"
Na 0.0000 0.0000 0.0000
Ru 1.9049 1.9049 2.5996
S 1.9049 1.9049 0.0000
N 0.0000 1.9049 2.5996
N 1.9049 0.0000 2.5996
```


Entry 2:
A plane-wave DFT calculation with GGA-PBE was carried out for a geometry-optimized PmZn4Pt structure.

The energy relative to the elements comes out at -0.4668 eV per atom. The calculation puts the magnetic moment at 0.00 μB per formula unit. The value obtained for the energy above the most stable polymorph in this dataset is 0.000 eV/atom. The final energy comes out at -3.115 eV per atom.

extended XYZ file:
```
12
Lattice="7.7207 0.0000 0.0000 0.0000 4.0786 0.0000 0.0000 0.0000 7.1097" Properties=species:S:1:pos:R:3 pbc="T T T"
Pm 1.9302 0.0000 0.8750
Pm 5.7906 0.0000 6.2347
Zn 0.0000 0.0000 3.5548
Zn 0.4070 2.0393 5.7733
Zn 1.9302 2.0393 3.2281
Zn 3.4534 2.0393 5.7733
Zn 3.8604 0.0000 3.5548
Zn 4.2673 2.0393 1.3364
Zn 5.7906 2.0393 3.8816
Zn 7.3138 2.0393 1.3364
Pt 1.9302 0.0000 5.0917
Pt 5.7906 0.0000 2.0179
```


Entry 3:
A plane-wave DFT calculation with GGA-PBE was carried out for a geometry-optimized B3PdRh structure.

The energy relative to the elements comes out at 1.5039 eV per atom. The calculation puts the magnetic moment at 0.00 μB per formula unit. The value obtained for the energy above the most stable polymorph in this dataset is 0.478 eV/atom. The final energy comes out at -5.011 eV per atom.

extended XYZ file:
```
5
Lattice="4.0050 0.0000 0.0000 0.0000 4.0050 0.0000 0.0000 0.0000 4.0050" Properties=species:S:1:pos:R:3 pbc="T T T"
B 0.0000 0.0000 2.0025
B 0.0000 2.0025 0.0000
B 2.0025 0.0000 0.0000
Pd 0.0000 0.0000 0.0000
Rh 2.0025 2.0025 2.0025
```


Entry 4:
A plane-wave DFT calculation with GGA-PBE was carried out for a geometry-optimized K3RbRh structure.

The energy relative to the elements comes out at 0.4316 eV per atom. The calculation puts the magnetic moment at 0.00 μB per formula unit. The value obtained for the energy above the most stable polymorph in this dataset is 0.000 eV/atom. The final energy comes out at -1.891 eV per atom.

extended XYZ file:
```
5
Lattice="6.3499 0.0000 0.0000 0.0000 6.3499 0.0000 0.0000 0.0000 6.3499" Properties=species:S:1:pos:R:3 pbc="T T T"
K 0.0000 0.0000 3.1750
K 0.0000 3.1750 0.0000
K 3.1750 0.0000 0.0000
Rb 3.1750 3.1750 3.1750
Rh 0.0000 0.0000 0.0000
```


Entry 5:
A plane-wave DFT calculation with GGA-PBE was carried out for a geometry-optimized Zr2NiSb structure.

The calculation puts the magnetic moment at 0.00 μB per formula unit. The final energy comes out at -7.001 eV per atom. Its uncorrected formation energy is -251 meV/atom.

extended XYZ file:
```
4
Lattice="3.3657 0.0000 0.0000 0.0000 3.3657 0.0000 0.0000 0.0000 7.1877" Properties=species:S:1:pos:R:3 pbc="T T T"
Zr 0.0000 0.0000 0.0000
Zr 1.6828 1.6828 2.1376
Ni 0.0000 0.0000 3.4581
Sb 1.6828 1.6828 5.1327
```


Entry 6:
A plane-wave DFT calculation with GGA-PBE was carried out for a geometry-optimized GaWCl2 structure.

The calculation puts the magnetic moment at 0.00 μB per formula unit. The value obtained for the energy above the most stable polymorph in this dataset is 0.828 eV/atom. The final energy comes out at -4.054 eV per atom. Its uncorrected formation energy is 864 meV/atom.

extended XYZ file:
```
4
Lattice="0.0000 3.2394 3.2394 3.2394 0.0000 3.2394 3.2394 3.2394 0.0000" Properties=species:S:1:pos:R:3 pbc="T T T"
Ga 0.0000 0.0000 0.0000
W 3.2394 3.2394 3.2394
Cl 1.6197 1.6197 1.6197
Cl 4.8590 4.8590 4.8590
```


Entry 7:
A plane-wave DFT calculation with GGA-PBE was carried out for a geometry-optimized Pr3Ho4Ga4 structure.

The energy relative to the elements comes out at -0.3870 eV per atom. The calculation puts the magnetic moment at 0.00 μB per formula unit. The final energy comes out at -4.456 eV per atom.

extended XYZ file:
```
11
Lattice="-2.4297 3.8148 8.1424 2.4297 -3.8148 8.1424 2.4297 3.8148 -8.1424" Properties=species:S:1:pos:R:3 pbc="T T T"
Pr 0.0000 0.0000 0.0000
Pr 2.4297 0.0000 6.3786
Pr 0.0000 3.8148 1.7638
Ho 2.4297 1.6268 -2.8143
Ho 2.4297 1.6268 2.8143
Ho 0.0000 2.1881 5.3281
Ho 0.0000 2.1881 10.9567
Ga 0.0000 0.0000 3.2830
Ga 2.4297 2.4477 0.0000
Ga 0.0000 1.3671 8.1424
Ga 0.0000 0.0000 13.0019
```


Entry 8:
A plane-wave DFT calculation with GGA-PBE was carried out for a geometry-optimized HfRePd structure.

The energy relative to the elements comes out at 0.1200 eV per atom. The calculation puts the magnetic moment at 0.00 μB per formula unit. The final energy comes out at -9.078 eV per atom.

extended XYZ file:
```
6
Lattice="2.0951 1.2096 8.0928 -2.0951 1.2096 8.0928 0.0000 -2.4192 8.0928" Properties=species:S:1:pos:R:3 pbc="T T T"
Hf 0.0000 0.0000 1.7003
Hf 0.0000 0.0000 22.5782
Re 0.0000 0.0000 4.3064
Re 0.0000 0.0000 19.9721
Pd 0.0000 0.0000 8.6449
Pd 0.0000 0.0000 15.6336
```


Entry 9:
A plane-wave DFT calculation with GGA-PBE was carried out for a geometry-optimized PuFeI6 structure.

The calculation puts the magnetic moment at 8.43 μB per formula unit. The final energy comes out at -4.589 eV per atom. Its uncorrected formation energy is -577 meV/atom.

extended XYZ file:
```
8
Lattice="4.4867 -6.4723 0.0000 4.4867 6.4723 0.0000 -1.3782 0.0000 6.9140" Properties=species:S:1:pos:R:3 pbc="T T T"
Pu 0.0000 0.0000 0.0000
Fe -0.6891 0.0000 3.4570
I 2.9750 4.4580 1.6546
I 1.9042 0.0000 2.3382
I 4.6202 4.4580 5.2593
I 2.9750 -4.4580 1.6546
I 5.6909 0.0000 4.5757
I 4.6202 -4.4580 5.2593
```


Entry 10:
A plane-wave DFT calculation with GGA-PBE was carried out for a geometry-optimized NdAlAu6 structure.

The energy relative to the elements comes out at -0.3966 eV per atom. The calculation puts the magnetic moment at 0.00 μB per formula unit. The final energy comes out at -3.918 eV per atom.

extended XYZ file:
```
8
Lattice="4.0919 0.0000 0.0000 0.0000 4.0919 0.0000 0.0000 0.0000 9.9750" Properties=species:S:1:pos:R:3 pbc="T T T"
Nd 0.0000 0.0000 0.0000
Al 0.0000 0.0000 4.9875
Au 0.0000 2.0459 3.3532
Au 0.0000 2.0459 6.6218
Au 2.0459 0.0000 3.3532
Au 2.0459 0.0000 6.6218
Au 2.0459 2.0459 1.3454
Au 2.0459 2.0459 8.6296
```


Entry 11:
A plane-wave DFT calculation with GGA-PBE was carried out for a geometry-optimized SrZrOs structure.

The energy relative to the elements comes out at 0.3743 eV per atom. The calculation puts the magnetic moment at 0.00 μB per formula unit. The value obtained for the energy above the most stable polymorph in this dataset is 0.279 eV/atom. The final energy comes out at -6.779 eV per atom.

extended XYZ file:
```
3
Lattice="3.9147 0.0000 0.0000 -1.9574 3.3902 0.0000 0.0000 0.0000 6.6162" Properties=species:S:1:pos:R:3 pbc="T T T"
Sr 0.0000 0.0000 0.0000
Zr 1.9574 1.1301 3.2935
Os 0.0000 2.2602 4.5608
```


Entry 12:
A plane-wave DFT calculation with GGA-PBE was carried out for a geometry-optimized SnPb structure.

The energy relative to the elements comes out at 0.1082 eV per atom. The calculation puts the magnetic moment at 0.00 μB per formula unit. The final energy comes out at -3.747 eV per atom.

extended XYZ file:
```
12
Lattice="4.2963 0.0000 0.0000 0.0000 16.2018 0.0000 0.0000 0.0000 5.6659" Properties=species:S:1:pos:R:3 pbc="T T T"
Sn 1.0741 1.9698 1.3537
Sn 1.0741 6.1311 1.3537
Sn 1.0741 12.1513 5.0631
Sn 3.2223 4.0504 0.6028
Sn 3.2223 10.0707 4.3123
Sn 3.2223 14.2320 4.3123
Pb 1.0741 0.3996 4.2072
Pb 1.0741 4.0504 3.8385
Pb 1.0741 7.7013 4.2072
Pb 3.2223 8.5005 1.4588
Pb 3.2223 12.1513 1.8274
Pb 3.2223 15.8022 1.4588
```


Entry 13:
A plane-wave DFT calculation with GGA-PBE was carried out for a geometry-optimized La2BiCl2 structure.

The calculation puts the magnetic moment at 0.00 μB per formula unit. The final energy comes out at -5.168 eV per atom. Its uncorrected formation energy is -1683 meV/atom.

extended XYZ file:
```
5
Lattice="2.2360 1.2909 10.4109 -2.2360 1.2909 10.4109 0.0000 -2.5819 10.4109" Properties=species:S:1:pos:R:3 pbc="T T T"
La 0.0000 0.0000 3.2773
La 0.0000 0.0000 27.9553
Bi 0.0000 0.0000 15.6163
Cl 0.0000 0.0000 8.6590
Cl 0.0000 0.0000 22.5737
```


Entry 14:
A plane-wave DFT calculation with GGA-PBE was carried out for a geometry-optimized CeZnNi structure.

The energy relative to the elements comes out at -0.2188 eV per atom. The calculation puts the magnetic moment at 0.62 μB per formula unit. The final energy comes out at -4.549 eV per atom.

extended XYZ file:
```
3
Lattice="0.0000 3.1515 3.1515 3.1515 0.0000 3.1515 3.1515 3.1515 0.0000" Properties=species:S:1:pos:R:3 pbc="T T T"
Ce 0.0000 0.0000 0.0000
Zn 3.1515 3.1515 3.1515
Ni 4.7272 4.7272 4.7272
```


Entry 15:
A plane-wave DFT calculation with GGA-PBE was carried out for a geometry-optimized YNb2Os2 structure.

The energy relative to the elements comes out at 0.1846 eV per atom. The calculation puts the magnetic moment at 0.86 μB per formula unit. The value obtained for the energy above the most stable polymorph in this dataset is 0.431 eV/atom. The final energy comes out at -9.628 eV per atom.

extended XYZ file:
```
5
Lattice="-2.2140 2.2140 5.3328 2.2140 -2.2140 5.3328 2.2140 2.2140 -5.3328" Properties=species:S:1:pos:R:3 pbc="T T T"
Y 0.0000 0.0000 0.0000
Nb 0.0000 0.0000 3.9694
Nb 0.0000 0.0000 6.6962
Os 2.2140 0.0000 2.6664
Os 0.0000 2.2140 2.6664
```


Entry 16:
A plane-wave DFT calculation with GGA-PBE was carried out for a geometry-optimized ScTcPb2 structure.

The energy relative to the elements comes out at 0.1967 eV per atom. The calculation puts the magnetic moment at 0.00 μB per formula unit. The value obtained for the energy above the most stable polymorph in this dataset is 0.122 eV/atom. The final energy comes out at -5.832 eV per atom.

extended XYZ file:
```
4
Lattice="1.8312 -2.5945 0.0000 1.8312 2.5945 0.0000 0.0000 0.0000 10.2662" Properties=species:S:1:pos:R:3 pbc="T T T"
Sc 0.0000 0.0000 0.0000
Tc 1.8312 0.0000 1.8867
Pb 0.0000 0.0000 4.0701
Pb 1.8312 0.0000 7.5376
```


Entry 17:
A plane-wave DFT calculation with GGA-PBE was carried out for a geometry-optimized NaGeO3 structure.

The calculation puts the magnetic moment at 3.00 μB per formula unit. The final energy comes out at -3.780 eV per atom. Its uncorrected formation energy is 383 meV/atom.

extended XYZ file:
```
5
Lattice="4.0046 0.0000 0.0000 0.0000 4.0046 0.0000 0.0000 0.0000 4.0046" Properties=species:S:1:pos:R:3 pbc="T T T"
Na 0.0000 0.0000 0.0000
Ge 2.0023 2.0023 2.0023
O 0.0000 0.0000 2.0023
O 0.0000 2.0023 0.0000
O 2.0023 0.0000 0.0000
```


Entry 18:
A plane-wave DFT calculation with GGA-PBE was carried out for a geometry-optimized Mn3NbFe structure.

The energy relative to the elements comes out at 0.9971 eV per atom. The calculation puts the magnetic moment at 0.00 μB per formula unit. The value obtained for the energy above the most stable polymorph in this dataset is 0.671 eV/atom. The final energy comes out at -8.211 eV per atom.

extended XYZ file:
```
5
Lattice="4.1323 0.0000 0.0000 0.0000 4.1323 0.0000 0.0000 0.0000 4.1323" Properties=species:S:1:pos:R:3 pbc="T T T"
Mn 0.0000 0.0000 2.0662
Mn 0.0000 2.0662 0.0000
Mn 2.0662 0.0000 0.0000
Nb 2.0662 2.0662 2.0662
Fe 0.0000 0.0000 0.0000
```


Entry 19:
A plane-wave DFT calculation with GGA-PBE was carried out for a geometry-optimized BaGaCoHg2 structure.

The energy relative to the elements comes out at -0.2388 eV per atom. The calculation puts the magnetic moment at 0.00 μB per formula unit. The final energy comes out at -2.771 eV per atom.

extended XYZ file:
```
5
Lattice="5.1745 0.0000 0.0000 0.0000 5.1745 0.0000 0.0000 0.0000 4.6839" Properties=species:S:1:pos:R:3 pbc="T T T"
Ba 0.0000 0.0000 0.0000
Ga 2.5873 2.5873 0.0000
Co 2.5873 2.5873 2.3420
Hg 0.0000 2.5873 2.3420
Hg 2.5873 0.0000 2.3420
```


Entry 20:
A plane-wave DFT calculation with GGA-PBE was carried out for a geometry-optimized La3CePm4Te8 structure.

The calculation puts the magnetic moment at 1.27 μB per formula unit. The final energy comes out at -5.528 eV per atom. Its uncorrected formation energy is -1475 meV/atom.

extended XYZ file:
```
16
Lattice="4.5232 2.6114 7.3445 -4.5232 2.6114 7.3445 0.0000 -5.2229 7.3445" Properties=species:S:1:pos:R:3 pbc="T T T"
La -2.2616 -1.3057 7.3445
La -2.2616 1.3057 14.6891
La 0.0000 2.6114 7.3445
Ce 0.0000 0.0000 0.0000
Pm -4.5231 0.0000 11.0168
Pm -2.2616 1.3057 3.6723
Pm 2.2616 1.3057 3.6723
Pm 0.0000 0.0000 11.0168
Te -2.2795 -1.3160 12.8136
Te 0.0000 0.0000 5.4547
Te 0.0000 -2.6321 9.2200
Te -2.2795 1.3160 9.2200
Te 2.2795 -1.3160 12.8136
Te 0.0000 2.6321 12.8136
Te 0.0000 0.0000 16.5789
Te 2.2795 1.3160 9.2200
```